Density functional theory data (PBE) for Sm2Co2B2CN after structural relaxation.

a b c (Å): 3.613 3.613 7.531
angles (deg): 90.00 90.00 90.00
Fractional positions:
1 Sm 0.000 0.000 0.000
2 Sm 0.500 0.500 0.343
3 Co 0.000 0.500 0.665
4 Co 0.500 0.000 0.665
5 B 0.000 0.000 0.519
6 B 0.500 0.500 0.806
7 C 0.500 0.500 0.009
8 N 0.000 0.000 0.324

***

Density functional theory data (PBE) for Pr2NdCo2B2C3 after structural relaxation.

a b c (Å): 10.787 10.787 10.787
angles (deg): 160.15 160.15 28.21
Fractional positions:
1 Pr 0.129 0.129 0.000
2 Pr 0.871 0.871 0.000
3 Nd 0.500 0.500 0.000
4 Co 0.250 0.750 0.500
5 Co 0.750 0.250 0.500
6 B 0.301 0.301 0.000
7 B 0.699 0.699 0.000
8 C 0.000 0.000 0.000
9 C 0.373 0.373 0.000
10 C 0.627 0.627 0.000

***

Density functional theory data (PBE) for NdSm2Co2B2C3 after structural relaxation.

a b c (Å): 10.779 10.779 10.779
angles (deg): 160.53 160.53 27.67
Fractional positions:
1 Nd 0.000 0.000 0.000
2 Sm 0.372 0.372 0.000
3 Sm 0.628 0.628 0.000
4 Co 0.250 0.750 0.500
5 Co 0.750 0.250 0.500
6 B 0.197 0.197 0.000
7 B 0.803 0.803 0.000
8 C 0.125 0.125 0.000
9 C 0.500 0.500 0.000
10 C 0.875 0.875 0.000

***

Density functional theory data (PBE) for PrCo2B2C after structural relaxation.

a b c (Å): 5.671 5.671 5.671
angles (deg): 142.12 142.12 54.65
Fractional positions:
1 Pr 0.000 0.000 0.000
2 Co 0.250 0.750 0.500
3 Co 0.750 0.250 0.500
4 B 0.350 0.350 0.000
5 B 0.650 0.650 0.000
6 C 0.500 0.500 0.000

***

no.,DFT total energy (eV/atom)
1,-7.49
2,-7.07
3,-7.13
4,-7.27